A geometry-optimized In2AuS structure, computed with PBE.

Values from the calculation:
**Formation energy from raw total energies**: -0.27 eV per atom

Cell: 3.784 3.784 7.738 Å, 75.84 75.84 60.00°
Element x y z (fractional)
1 Au 0.668 0.668 0.995
2 S 0.498 0.498 0.507
3 In 0.085 0.085 0.746
4 In 0.249 0.249 0.252